First-principles (PBE-GGA) data for an optimized crystal structure of Sr2PmIn2Sb4, as listed in Alexandria via LeMat-Bulk.

Calculated values
* E_form (uncorrected): -660 meV/atom
* density: 5.965 g/cm3

a b c (Å): 4.6485 7.9512 8.4761
angles (deg): 105.98 105.91 90.00
Last column: nearest neighbours and their distance in Å.
Sites, in units of the cell vectors:
Sr (0.1296, 0.5773, 0.2593)  7 Sb 3.44-3.56
Sr (0.8704, 0.4227, 0.7407)  7 Sb 3.44-3.56
Pm (0.0000, 0.0000, 0.0000)  6 Sb 3.25-3.39, 4 In 3.51
In (0.6602, 0.9895, 0.3203)  4 Sb 2.94-3.05
In (0.3398, 0.0105, 0.6797)  4 Sb 2.94-3.05
Sb (0.2108, 0.2233, 0.4216)  3 In 2.94-3.05
Sb (0.7892, 0.7767, 0.5784)  3 In 2.94-3.05
Sb (0.4951, 0.7109, 0.9902)  1 In 2.96, 2 Pm 3.25
Sb (0.5049, 0.2891, 0.0098)  1 In 2.96, 2 Pm 3.25



First-principles (PBE-GGA) data for an optimized crystal structure of VCrIn2Hg, as listed in Alexandria via LeMat-Bulk.

Calculated values
* DFT formation energy: 1.26 eV per atom
* density: 5.796 g/cm3

a b c (Å): 5.3866 5.2642 5.3866
angles (deg): 90.00 90.00 90.00
Last column: nearest neighbours and their distance in Å.
Sites, in units of the cell vectors:
Cr (0.5000, 0.5000, 0.5000)  8 In 3.77, 4 V 3.81
V (0.0000, 0.5000, 0.0000)  2 Hg 2.63
Hg (0.0000, 0.0000, 0.0000)  2 V 2.63, 4 In 2.69
In (0.0000, 0.0000, 0.5000)  2 Hg 2.69
In (0.5000, 0.0000, 0.0000)  2 Hg 2.69



First-principles (PBE-GGA) data for an optimized crystal structure of Mg2NbRe2, as listed in Alexandria via LeMat-Bulk.

Calculated values
* DFT formation energy: 0.49 eV per atom
* energy relative to the lowest polymorph listed for this composition: 0.0000 eV per atom
* density: 8.889 g/cm3

a b c (Å): 6.4982 6.4982 4.5470
angles (deg): 90.00 90.00 90.00
Last column: nearest neighbours and their distance in Å.
Sites, in units of the cell vectors:
Re (0.3687, 0.8687, 0.0000)  1 Re 2.41, 2 Nb 2.54
Re (0.8687, 0.6313, 0.0000)  1 Re 2.41, 2 Nb 2.54
Re (0.6313, 0.1313, 0.0000)  1 Re 2.41, 2 Nb 2.54
Re (0.1313, 0.3687, 0.0000)  1 Re 2.41, 2 Nb 2.54
Nb (0.0000, 0.0000, 0.0000)  4 Re 2.54
Nb (0.5000, 0.5000, 0.0000)  4 Re 2.54
Mg (0.1686, 0.6686, 0.5000)  6 Re 2.92-3.00, 1 Mg 3.10
Mg (0.6686, 0.8314, 0.5000)  6 Re 2.92-3.00, 1 Mg 3.10
Mg (0.8314, 0.3314, 0.5000)  6 Re 2.92-3.00, 1 Mg 3.10
Mg (0.3314, 0.1686, 0.5000)  6 Re 2.92-3.00, 1 Mg 3.10



First-principles (PBE-GGA) data for an optimized crystal structure of KLi3Sb3, as listed in Alexandria via LeMat-Bulk.

Calculated values
* E_form (uncorrected): -44 meV/atom
* energy relative to the lowest polymorph listed for this composition: 0.2412 eV per atom
* density: 3.296 g/cm3

a b c (Å): 7.5385 7.5385 7.5385
angles (deg): 90.00 90.00 90.00
Last column: nearest neighbours and their distance in Å.
Sites, in units of the cell vectors:
Sb (0.0000, 0.2500, 0.5000)  4 Li 2.67
Sb (0.0000, 0.7500, 0.5000)  4 Li 2.67
Sb (0.5000, 0.0000, 0.7500)  4 Li 2.67
Sb (0.7500, 0.5000, 0.0000)  4 Li 2.67
Sb (0.5000, 0.0000, 0.2500)  4 Li 2.67
Sb (0.2500, 0.5000, 0.0000)  4 Li 2.67
K (0.5000, 0.5000, 0.5000)  12 Sb 4.21, 12 Li 4.21
K (0.0000, 0.0000, 0.0000)  12 Sb 4.21, 12 Li 4.21
Li (0.2500, 0.0000, 0.5000)  4 Sb 2.67
Li (0.0000, 0.5000, 0.2500)  4 Sb 2.67
Li (0.5000, 0.7500, 0.0000)  4 Sb 2.67
Li (0.7500, 0.0000, 0.5000)  4 Sb 2.67
Li (0.0000, 0.5000, 0.7500)  4 Sb 2.67
Li (0.5000, 0.2500, 0.0000)  4 Sb 2.67



First-principles (PBE-GGA) data for an optimized crystal structure of Cs6H2BrF3, as listed in Alexandria via LeMat-Bulk.

Calculated values
* calculated total energy: -38.91 eV/cell
* density: 3.826 g/cm3

a b c (Å): 4.5393 9.2270 10.2600
angles (deg): 103.81 102.78 90.00
Last column: nearest neighbours and their distance in Å.
Sites, in units of the cell vectors:
Cs (0.3206, 0.9138, 0.6413)  3 F 2.97-3.29, 2 H 3.28
Cs (0.6654, 0.5862, 0.3308)  3 F 3.14-3.21, 3 H 3.19-3.25
Cs (0.6794, 0.0862, 0.3587)  3 F 2.97-3.29, 2 H 3.28
Cs (0.9927, 0.2822, 0.9854)  3 F 3.01-3.12
Cs (0.0073, 0.7178, 0.0146)  3 F 3.01-3.12
Cs (0.3346, 0.4138, 0.6692)  3 F 3.14-3.21, 3 H 3.19-3.25
H (0.8295, 0.6628, 0.6591)  6 Cs 3.19-3.47
H (0.1705, 0.3372, 0.3409)  6 Cs 3.19-3.47
Br (0.5000, 0.0000, 0.0000)  6 Cs 3.48
F (0.5000, 0.5000, 0.0000)  6 Cs 3.01-3.21
F (0.8324, 0.1770, 0.6647)  6 Cs 2.97-3.29
F (0.1676, 0.8230, 0.3353)  6 Cs 2.97-3.29



First-principles (PBE-GGA) data for an optimized crystal structure of Rb4NaPa3Se8, as listed in Alexandria via LeMat-Bulk.

Calculated values
* E_form (uncorrected): -1334 meV/atom
* density: 5.467 g/cm3

a b c (Å): 8.5963 9.4290 8.5970
angles (deg): 117.11 120.00 90.00
Last column: nearest neighbours and their distance in Å.
Sites, in units of the cell vectors:
Rb (0.5000, 0.0000, 0.0000)  6 Se 3.39
Rb (0.5000, 0.0000, 0.5000)  6 Se 3.47-3.52
Rb (0.0000, 0.0000, 0.0000)  6 Se 3.47-3.52
Rb (0.0000, 0.0000, 0.5000)  6 Se 3.47-3.52
Na (0.0000, 0.5000, 0.0000)  6 Se 3.04
Pa (0.5000, 0.5000, 0.0000)  6 Se 2.89-2.94
Pa (0.5000, 0.5000, 0.5000)  6 Se 2.89-2.95
Pa (0.0000, 0.5000, 0.5000)  6 Se 2.89-2.95
Se (0.2403, 0.6967, 0.9562)  2 Pa 2.89, 1 Na 3.04
Se (0.2403, 0.6969, 0.4806)  2 Pa 2.89, 1 Na 3.04
Se (0.2675, 0.3021, 0.5350)  3 Pa 2.94-2.95
Se (0.7159, 0.6967, 0.9562)  2 Pa 2.89, 1 Na 3.04
Se (0.2841, 0.3033, 0.0438)  2 Pa 2.89, 1 Na 3.04
Se (0.7325, 0.6979, 0.4650)  3 Pa 2.94-2.95
Se (0.7597, 0.3031, 0.5194)  2 Pa 2.89, 1 Na 3.04
Se (0.7597, 0.3033, 0.0438)  2 Pa 2.89, 1 Na 3.04



Please write out number 2 again, unchanged.
First-principles (PBE-GGA) data for an optimized crystal structure of VCrIn2Hg, as listed in Alexandria via LeMat-Bulk.

Calculated values
* DFT formation energy: 1.26 eV per atom
* density: 5.796 g/cm3

a b c (Å): 5.3866 5.2642 5.3866
angles (deg): 90.00 90.00 90.00
Last column: nearest neighbours and their distance in Å.
Sites, in units of the cell vectors:
Cr (0.5000, 0.5000, 0.5000)  8 In 3.77, 4 V 3.81
V (0.0000, 0.5000, 0.0000)  2 Hg 2.63
Hg (0.0000, 0.0000, 0.0000)  2 V 2.63, 4 In 2.69
In (0.0000, 0.0000, 0.5000)  2 Hg 2.69
In (0.5000, 0.0000, 0.0000)  2 Hg 2.69



Q: The highest density belongs to which entry?
A: Mg2NbRe2



Q: The lowest density belongs to which entry?
A: KLi3Sb3



Q: Which value of density does entry 3 give?
A: 8.889 g/cm3